Material: BeFeOs
Method: DFT, PBE
State: relaxed

```
6
Lattice="-1.163 -3.179 1.675 2.680 -3.864 -1.217 2.759 -1.553 3.229" Properties=species:S:1:pos:R:3 pbc="T T T"
Be 4.182 -5.636 2.265
Be 2.086 -5.000 2.015
Os 3.539 -4.253 0.181
Os 2.729 -6.382 4.098
Fe 1.562 -2.888 1.399
Fe 2.027 -3.883 4.098
```

## Properties
Formation energy in eV/atom: 0.00
ΔE to the lowest computed polymorph in meV per atom: 110
D(E_F) in states/eV per cell: 5.19

=====

Material: LiCa2Au
Method: DFT, PBE
State: relaxed

```
4
Lattice="-0.205 2.638 -3.234 -2.974 2.933 -0.119 4.107 7.262 2.964" Properties=species:S:1:pos:R:3 pbc="T T T"
Li 0.450 6.401 -0.206
Ca 3.075 6.182 2.148
Ca -0.022 2.943 -0.298
Au -2.111 3.723 -2.228
```

## Properties
Formation energy in eV/atom: -0.32
D(E_F) in states/eV per cell: 2.18

=====

Material: SrSb3Pt
Method: DFT, PBE
State: relaxed

```
5
Lattice="5.873 0.000 0.000 0.000 5.873 0.000 0.000 0.000 5.873" Properties=species:S:1:pos:R:3 pbc="T T T"
Sb 0.000 2.936 0.000
Sb 0.000 0.000 2.936
Sb 2.936 0.000 0.000
Pt 2.936 2.936 2.936
Sr 0.000 0.000 0.000
```

## Properties
ΔE to the lowest computed polymorph in meV per atom: 1945
Raw formation energy in eV/atom: 1.410
D(E_F) in states/eV per cell: 9.34